# 1
VASP calculation (PBE) on crystalline Li2CeSbO6 at its relaxed geometry.

POSCAR file:
```
Li2CeSbO6
1.0
2.6851 1.5502 4.9361
-2.6851 1.5502 4.9361
0.0000 -3.1005 4.9361
Li Ce Sb O
2 1 1 6
Cartesian
0.0000 0.0000 0.0000 Li
0.0000 0.0000 7.0196 Li
0.0000 0.0000 3.1277 Ce
0.0000 0.0000 10.4444 Sb
-0.9937 -1.6680 6.5709 O
-1.5920 0.0026 9.2074 O
-0.9477 1.6946 6.5709 O
0.7937 -1.3800 9.2074 O
1.9414 -0.0266 6.5709 O
0.7983 1.3774 9.2074 O
```

Summary:
* total moment: 1.02 μB/cell
* crystal system: trigonal
* formation energy (no corrections): -47.0 kcal/mol of atoms
* energy: -64.0 eV/f.u.



# 2
VASP calculation (PBE) on crystalline RbPaRh2O8 at its relaxed geometry.

POSCAR file:
```
RbPaRh2O8
1.0
5.8866 0.0000 0.0000
-2.9433 5.0980 0.0000
0.0000 0.0000 8.0636
Rb Pa Rh O
1 1 2 8
Cartesian
0.0000 0.0000 0.0000 Rb
0.0000 0.0000 4.0318 Pa
0.0000 3.3986 1.8962 Rh
2.9433 1.6993 6.1675 Rh
0.0000 1.7115 2.7361 O
-1.4611 4.2422 2.7361 O
0.0000 3.3986 0.1495 O
1.4822 0.8557 5.3276 O
1.4611 4.2422 2.7361 O
2.9433 1.6993 7.9141 O
4.4044 0.8557 5.3276 O
2.9433 3.3865 5.3276 O
```

Summary:
* total moment: 0.00 μB/cell
* crystal system: trigonal
* formation energy (no corrections): -31.4 kcal/mol of atoms
* energy: -81.2 eV/f.u.



# 3
VASP calculation (PBE) on crystalline CoOsSe2 at its relaxed geometry.

POSCAR file:
```
CoOsSe2
1.0
2.9766 0.0000 0.0000
0.0000 5.4069 0.0000
0.0000 0.0000 8.0352
Co Os Se
2 2 4
Cartesian
0.0000 0.0000 0.0000 Co
1.4883 2.7035 0.0000 Co
0.0000 0.0000 4.0176 Os
1.4883 2.7035 4.0176 Os
0.0000 2.7035 1.9412 Se
0.0000 2.7035 6.0940 Se
1.4883 0.0000 1.9412 Se
1.4883 0.0000 6.0940 Se
```

Summary:
* total moment: 3.88 μB/cell
* crystal system: orthorhombic
* formation energy (no corrections): 18.3 kcal/mol of atoms
* energy: -22.1 eV/f.u.
* E above lowest polymorph: 848 meV per atom



- The highest total moment belongs to which entry?
  CoOsSe2



Copy entry 1 word for word.
VASP calculation (PBE) on crystalline Li2CeSbO6 at its relaxed geometry.

POSCAR file:
```
Li2CeSbO6
1.0
2.6851 1.5502 4.9361
-2.6851 1.5502 4.9361
0.0000 -3.1005 4.9361
Li Ce Sb O
2 1 1 6
Cartesian
0.0000 0.0000 0.0000 Li
0.0000 0.0000 7.0196 Li
0.0000 0.0000 3.1277 Ce
0.0000 0.0000 10.4444 Sb
-0.9937 -1.6680 6.5709 O
-1.5920 0.0026 9.2074 O
-0.9477 1.6946 6.5709 O
0.7937 -1.3800 9.2074 O
1.9414 -0.0266 6.5709 O
0.7983 1.3774 9.2074 O
```

Summary:
* total moment: 1.02 μB/cell
* crystal system: trigonal
* formation energy (no corrections): -47.0 kcal/mol of atoms
* energy: -64.0 eV/f.u.